(1)
# NaPt3 (PBE, optimized geometry)
data_NaPt3
_chemical_formula_sum 'Na4 Pt12'
_cell_length_a 7.394
_cell_length_b 8.021
_cell_length_c 4.649
_cell_angle_alpha 90.00
_cell_angle_beta 90.00
_cell_angle_gamma 90.00
_space_group_name_H-M_alt 'C m c m'
_space_group_IT_number 63
_space_group_name_Hall '-C 2c 2'
loop_
_atom_site_label
_atom_site_fract_x
_atom_site_fract_y
_atom_site_fract_z
Na1 0.000 0.039 0.250
Pt1 0.000 0.400 0.250
Pt2 0.178 0.287 0.750
# M_tot   0.0000 μB/atom
# V   275.71 Å³/cell
# E_form   -0.1 eV per formula unit
# Uncorrected energy   -4.893 eV per atom
# D(E_F)   4.45 states/eV/f.u.

---

(2)
# TiGeP2Cl (PBE, optimized geometry)
data_TiGeP2Cl
_chemical_formula_sum 'Ti1 Ge1 P2 Cl1'
_cell_length_a 4.695
_cell_length_b 4.695
_cell_length_c 4.798
_cell_angle_alpha 90.00
_cell_angle_beta 90.00
_cell_angle_gamma 90.00
_space_group_name_H-M_alt 'P 4/m m m'
_space_group_IT_number 123
_space_group_name_Hall '-P 4 2'
loop_
_atom_site_label
_atom_site_fract_x
_atom_site_fract_y
_atom_site_fract_z
Ti1 0.000 0.000 0.000
Ge1 0.500 0.500 0.500
P1 0.000 0.500 0.500
Cl1 0.500 0.500 0.000
# ΔE to the lowest computed polymorph   540.4 meV per atom
# M_tot   0.2385 μB/atom
# V   105.77 Å³/cell
# Uncorrected energy   -4.463 eV per atom
# D(E_F)   3.79 states/eV/f.u.
# Uncorrected formation energy   0.573 eV per atom

---

Which formula does entry 1 have?
NaPt3

---

Which formula does entry 2 have?
TiGeP2Cl

---

The lowest uncorrected energy belongs to which entry?
NaPt3